1.
## SnAs2PtBr (PBE)

Data for a relaxed SnAs2PtBr crystal.

## Properties
Volume   25.64 Å³ per atom
Formation energy without anion corrections   165 kJ/mol of formula units
Relative energy among the computed polymorphs   0 meV per atom
Theoretical density   7041 kg/m³
Density of states at the Fermi level   5.891 states/eV/cell
Raw total energy   -3.86 eV/atom

Lattice parameters (Å, degrees): 4.9188 4.9188 5.2978 90.00 90.00 90.00
Element x y z (fractional)
Sn (0.0000, 0.0000, 0.0000)
As (0.0000, 0.5000, 0.5000)
As (0.5000, 0.0000, 0.5000)
Pt (0.5000, 0.5000, 0.5000)
Br (0.5000, 0.5000, 0.0000)

=====

2.
## ScNi2Ag (PBE)

Data for a relaxed ScNi2Ag crystal.

## Properties
Volume   14.70 Å³ per atom
Theoretical density   7629 kg/m³
Density of states at the Fermi level   2.353 states/eV/cell
E_form   -0.226 eV/atom
Raw total energy   -5.41 eV/atom

Lattice parameters (Å, degrees): 4.8631 4.8631 4.8631 133.99 133.72 67.32
Element x y z (fractional)
Sc (0.0000, 0.0000, 0.0000)
Ni (0.5012, 0.5012, 0.0000)
Ni (0.7494, 0.2494, 0.5000)
Ag (0.2507, 0.7507, 0.5000)

=====

3.
## PaNbPb (PBE)

Data for a relaxed PaNbPb crystal.

## Properties
Volume   25.63 Å³ per atom
Relative energy among the computed polymorphs   0 meV per atom
Theoretical density   11472 kg/m³
Density of states at the Fermi level   7.068 states/eV/cell
E_form   0.122 eV/atom
Raw total energy   -7.64 eV/atom

Lattice parameters (Å, degrees): 8.0320 8.0320 8.0320 146.92 146.92 47.48
Element x y z (fractional)
Pa (0.1327, 0.1327, 0.0000)
Pa (0.8673, 0.8673, 0.0000)
Nb (0.0000, 0.5000, 0.5000)
Nb (0.5000, 0.0000, 0.5000)
Pb (0.3577, 0.3577, 0.0000)
Pb (0.6423, 0.6423, 0.0000)

=====

- The lowest density of states at the Fermi level belongs to which entry?
  ScNi2Ag

=====

- Which value of volume does entry 1 give?
  25.64 Å³ per atom

=====

- Which formula does entry 3 have?
  PaNbPb